Compound: LiAg5Pd3
Source: the Alexandria database
Functional: PBE
Structure: relaxed

Distance to the lowest polymorph of the same formula in meV per atom: 0.0
E_form in eV/atom: 0.136
Space-group type: I4/mcm, No. 140
Crystal system: tetragonal

a = 7.218 Å, b = 7.218 Å, c = 7.961 Å
α = 116.96°, β = 116.96°, γ = 90.00°
Sites, in units of the cell vectors:
Ag (0.050, 0.550, 0.712)
Ag (0.000, 0.000, 0.000)
Ag (0.450, 0.338, 0.288)
Ag (0.838, 0.950, 0.288)
Ag (0.662, 0.162, 0.712)
Ag (0.950, 0.450, 0.288)
Ag (0.162, 0.050, 0.712)
Ag (0.338, 0.838, 0.288)
Ag (0.500, 0.500, 0.000)
Ag (0.550, 0.662, 0.712)
Li (0.750, 0.250, 0.500)
Li (0.250, 0.750, 0.500)
Pd (0.121, 0.379, 0.000)
Pd (0.621, 0.121, 0.000)
Pd (0.750, 0.750, 0.500)
Pd (0.379, 0.879, 0.000)
Pd (0.879, 0.621, 0.000)
Pd (0.250, 0.250, 0.500)

***

Compound: Sr2HgSb3Rh4
Source: the Alexandria database
Functional: PBE
Structure: relaxed

Formation energy (no corrections) in eV/atom: -0.6111
Space-group type: P-4m2, No. 115
Crystal system: tetragonal

a = 4.604 Å, b = 4.604 Å, c = 10.646 Å
α = 90.00°, β = 90.00°, γ = 90.00°
Sites, in units of the cell vectors:
Rh (0.500, 0.000, 0.633)
Rh (0.000, 0.000, 0.000)
Rh (0.500, 0.500, 0.000)
Rh (0.000, 0.500, 0.367)
Hg (0.500, 0.500, 0.500)
Sb (0.500, 0.000, 0.874)
Sb (0.000, 0.500, 0.126)
Sb (0.000, 0.000, 0.500)
Sr (0.500, 0.000, 0.250)
Sr (0.000, 0.500, 0.750)

***

Compound: Ac4Co3C5
Source: the Alexandria database
Functional: PBE
Structure: relaxed

E_form in eV/atom: -0.073
Space-group type: C2/m, No. 12
Crystal system: monoclinic

a = 3.987 Å, b = 6.233 Å, c = 9.882 Å
α = 73.51°, β = 78.36°, γ = 71.35°
Sites, in units of the cell vectors:
C (0.403, 0.000, 0.193)
C (0.500, 0.500, 0.500)
C (0.670, 0.777, 0.882)
C (0.597, 0.000, 0.807)
C (0.330, 0.223, 0.118)
Ac (0.101, 0.687, 0.111)
Ac (0.258, 0.828, 0.657)
Ac (0.742, 0.172, 0.343)
Ac (0.899, 0.313, 0.889)
Co (0.539, 0.261, 0.662)
Co (0.000, 0.500, 0.500)
Co (0.461, 0.739, 0.338)

***

Compound: LiNbO2
Source: the Alexandria database
Functional: PBE
Structure: relaxed

Formation energy (no corrections) in eV/atom: -2.3435
Space-group type: P6_3/mmc, No. 194
Crystal system: hexagonal

a = 2.938 Å, b = 2.938 Å, c = 10.596 Å
α = 90.00°, β = 90.00°, γ = 120.00°
Sites, in units of the cell vectors:
Li (0.000, 0.000, 0.500)
Li (0.000, 0.000, 0.000)
O (0.333, 0.667, 0.123)
O (0.667, 0.333, 0.877)
O (0.333, 0.667, 0.377)
O (0.667, 0.333, 0.623)
Nb (0.333, 0.667, 0.750)
Nb (0.667, 0.333, 0.250)

***

Compound: AcPrGd
Source: the Alexandria database
Functional: PBE
Structure: relaxed

Distance to the lowest polymorph of the same formula in meV per atom: 0.0
E_form in eV/atom: 0.038
Space-group type: P3m1, No. 156
Crystal system: trigonal

a = 3.792 Å, b = 3.792 Å, c = 9.110 Å
α = 90.00°, β = 90.00°, γ = 120.00°
Sites, in units of the cell vectors:
Pr (0.333, 0.667, 0.676)
Gd (0.000, 0.000, 0.995)
Ac (0.667, 0.333, 0.330)

***

Compound: SrCd12Au4
Source: the Alexandria database
Functional: PBE
Structure: relaxed

E_form in eV/atom: -0.060
Space-group type: Im-3, No. 204
Crystal system: cubic

a = 8.403 Å, b = 8.403 Å, c = 8.403 Å
α = 109.47°, β = 109.47°, γ = 109.47°
Sites, in units of the cell vectors:
Cd (0.847, 0.350, 0.196)
Cd (0.497, 0.847, 0.650)
Cd (0.153, 0.650, 0.804)
Cd (0.153, 0.350, 0.503)
Cd (0.804, 0.153, 0.650)
Cd (0.350, 0.503, 0.153)
Cd (0.503, 0.153, 0.350)
Cd (0.350, 0.196, 0.847)
Cd (0.196, 0.847, 0.350)
Cd (0.650, 0.497, 0.847)
Cd (0.650, 0.804, 0.153)
Cd (0.847, 0.650, 0.497)
Au (0.000, 0.500, 0.000)
Au (0.000, 0.000, 0.500)
Au (0.500, 0.000, 0.000)
Au (0.500, 0.500, 0.500)
Sr (0.000, 0.000, 0.000)

***

no.,VASP energy (eV per atom)
1,-3.392
2,-5.155
3,-7.063
4,-7.819
5,-7.618
6,-1.576